! NaYSc2Cd, optimized geometry, DFT PBE-GGA; values from VASP
&SYSTEM
  ibrav = 0, nat = 5, ntyp = 4
/
ATOMIC_SPECIES
Na 22.99 Na.upf
Y 88.91 Y.upf
Sc 44.96 Sc.upf
Cd 112.41 Cd.upf
CELL_PARAMETERS angstrom
5.1933 0.0000 0.0000
0.0000 5.1933 0.0000
0.0000 0.0000 5.0833
ATOMIC_POSITIONS crystal
Na 0.0000 0.0000 0.0000
Y 0.5000 0.5000 0.5000
Sc 0.0000 0.5000 0.0000
Sc 0.5000 0.0000 0.0000
Cd 0.0000 0.0000 0.5000
! formation energy	0.663	eV/atom
! crystal system	tetragonal


! Zr5Re, optimized geometry, DFT PBE-GGA; values from VASP
&SYSTEM
  ibrav = 0, nat = 6, ntyp = 2
/
ATOMIC_SPECIES
Zr 91.22 Zr.upf
Re 186.21 Re.upf
CELL_PARAMETERS angstrom
0.0000 3.9973 3.9973
3.9973 0.0000 3.9973
3.9973 3.9973 0.0000
ATOMIC_POSITIONS crystal
Zr 0.0000 0.0000 0.0000
Zr 0.1264 0.6245 0.6245
Zr 0.6245 0.1264 0.6245
Zr 0.6245 0.6245 0.1264
Zr 0.6245 0.6245 0.6245
Re 0.2500 0.2500 0.2500
! formation energy	0.484	eV/atom
! distance to the lowest polymorph of the same formula	326.4	kJ/mol of formula units
! crystal system	cubic


! BaTlAgSn2, optimized geometry, DFT PBE-GGA; values from VASP
&SYSTEM
  ibrav = 0, nat = 5, ntyp = 4
/
ATOMIC_SPECIES
Ba 137.33 Ba.upf
Tl 204.38 Tl.upf
Ag 107.87 Ag.upf
Sn 118.71 Sn.upf
CELL_PARAMETERS angstrom
-2.5261 2.5261 6.0192
2.5261 -2.5261 6.0192
2.5261 2.5261 -6.0192
ATOMIC_POSITIONS crystal
Ba 0.0000 0.0000 0.0000
Tl 0.2500 0.7500 0.5000
Ag 0.7500 0.2500 0.5000
Sn 0.3810 0.3810 0.0000
Sn 0.6190 0.6190 0.0000
! formation energy	-0.306	eV/atom
! crystal system	tetragonal


! TlAu3, optimized geometry, DFT PBE-GGA; values from VASP
&SYSTEM
  ibrav = 0, nat = 4, ntyp = 2
/
ATOMIC_SPECIES
Tl 204.38 Tl.upf
Au 196.97 Au.upf
CELL_PARAMETERS angstrom
2.9027 -3.3915 0.0000
2.9027 3.3915 0.0000
0.0000 0.0000 4.1197
ATOMIC_POSITIONS crystal
Tl 0.0000 0.0000 0.0000
Au 0.0000 0.5000 0.5000
Au 0.5000 0.0000 0.5000
Au 0.5000 0.5000 0.0000
! formation energy	0.105	eV/atom
! crystal system	orthorhombic


! InPCO2, optimized geometry, DFT PBE-GGA; values from VASP
&SYSTEM
  ibrav = 0, nat = 5, ntyp = 4
/
ATOMIC_SPECIES
In 114.82 In.upf
P 30.97 P.upf
C 12.01 C.upf
O 16.00 O.upf
CELL_PARAMETERS angstrom
3.6520 0.0000 0.0000
0.0000 3.6520 0.0000
0.0000 0.0000 4.6899
ATOMIC_POSITIONS crystal
In 0.0000 0.0000 0.0000
P 0.5000 0.5000 0.0000
C 0.0000 0.0000 0.5000
O 0.0000 0.5000 0.5000
O 0.5000 0.0000 0.5000
! distance to the lowest polymorph of the same formula	212.6	kJ/mol of formula units
! ΔE_f (raw)	6.075	eV per formula unit
! crystal system	tetragonal


! Fe2W, optimized geometry, DFT PBE-GGA; values from VASP
&SYSTEM
  ibrav = 0, nat = 6, ntyp = 2
/
ATOMIC_SPECIES
Fe 55.84 Fe.upf
W 183.84 W.upf
CELL_PARAMETERS angstrom
0.0000 3.3343 3.3343
3.3343 0.0000 3.3343
3.3343 3.3343 0.0000
ATOMIC_POSITIONS crystal
Fe 0.0000 0.0000 0.0000
Fe 0.0000 0.0000 0.5000
Fe 0.0000 0.5000 0.0000
Fe 0.5000 0.0000 0.0000
W 0.3750 0.3750 0.3750
W 0.6250 0.6250 0.6250
! formation energy	-0.001	eV/atom
! crystal system	cubic